Density functional theory data (PBE-GGA) for crystalline Nd3ICl2O6 at its relaxed geometry.

Computed properties:
**Uncorrected formation energy**: -1.95 eV per atom
**Calculated volume**: 19.50 A^3/atom

abc: 12.1698 6.9390 5.6186
angles: 90.00 99.55 90.00
With the nearest neighbours (Å) after each atom.
Space group C2/m (No. 12)
One atom of each set of equivalent atoms:
Nd 0.0000 0.0000 0.0000  4 O 2.46
Nd 0.2500 0.2500 0.5000  4 O 2.30-2.39
I 0.0000 0.5000 0.5000  6 O 2.08-2.25
Cl 0.2068 0.0000 0.8578  3 Nd 2.76-2.77, 1 O 2.85
O 0.0615 0.2547 0.2962  1 I 2.25, 2 Nd 2.39-2.46
O 0.1653 0.5000 0.6686  1 I 2.08, 2 Nd 2.30



Density functional theory data (PBE-GGA) for crystalline NaIrSe3 at its relaxed geometry.

Computed properties:
**Uncorrected formation energy**: 0.09 eV per atom
**Calculated volume**: 25.07 A^3/atom
**Distance to the lowest polymorph of the same formula**: 0.000 eV per atom
**D(E_F)**: 7.485 states/eV/f.u.

abc: 5.0049 5.0049 5.0049
angles: 90.00 90.00 90.00
With the nearest neighbours (Å) after each atom.
Space group Pm-3m (No. 221)
One atom of each set of equivalent atoms:
Na 0.0000 0.0000 0.0000  12 Se 3.54
Ir 0.5000 0.5000 0.5000  6 Se 2.50
Se 0.0000 0.5000 0.5000  2 Ir 2.50



Density functional theory data (PBE-GGA) for crystalline Tl5SiSe4Cl2 at its relaxed geometry.

Computed properties:
**Uncorrected formation energy**: -0.58 eV per atom
**Calculated volume**: 32.98 A^3/atom
**D(E_F)**: 2.826 states/eV/f.u.

abc: 9.1387 10.1604 8.5257
angles: 90.00 90.00 90.00
With the nearest neighbours (Å) after each atom.
Space group Amm2 (No. 38)
One atom of each set of equivalent atoms:
Tl 0.0000 0.0000 0.0000  2 Cl 2.90, 2 Se 3.00
Tl 0.2588 0.1842 0.5064  3 Se 3.18-3.36, 2 Cl 3.27-3.28
Si 0.5000 0.0000 0.9264  4 Se 2.26-2.33
Se 0.3115 0.0000 0.1100  1 Si 2.33
Se 0.5000 0.1882 0.7845  1 Si 2.26
Cl 0.0000 0.2116 0.7717  1 Tl 2.90



Density functional theory data (PBE-GGA) for crystalline PmSmGe2Pt5 at its relaxed geometry.

Computed properties:
**Calculated volume**: 18.75 A^3/atom
**D(E_F)**: 3.929 states/eV/f.u.
**Formation enthalpy at 0 K**: -89.0 kJ/mol of atoms

abc: 4.3089 4.3089 9.0879
angles: 90.00 90.00 90.00
With the nearest neighbours (Å) after each atom.
Space group P4/mmm (No. 123)
One atom of each set of equivalent atoms:
Pm 0.0000 0.0000 0.0000  8 Pt 3.29, 8 Ge 3.29
Sm 0.0000 0.0000 0.5000  12 Pt 2.98-3.05
Ge 0.5000 0.5000 0.1363  1 Ge 2.48, 4 Pt 2.49
Pt 0.0000 0.5000 0.2729  2 Ge 2.49
Pt 0.5000 0.5000 0.5000  8 Pt 2.98, 4 Sm 3.05, 2 Ge 3.31